Density functional theory data (PBE) for a relaxed Tb3Y4ErS8 crystal.

The calculation puts the formation energy without anion corrections at -1.99 eV per atom. The density of states at the Fermi level is 28.15 states/eV per cell. The value obtained for the total energy is -6.82 eV/atom.

The structure belongs to space group R-3m (No. 166, hexagonal axes); the cell edges are 7.8318, 7.8318 and 19.1793 Å and the angles 90.00°, 90.00° and 120.00°. The asymmetric unit holds Tb at (0.0000, 0.5000, 0.0000), Y at (0.0000, 0.0000, 0.5000), Y at (0.0000, 0.5000, 0.5000), Er at (0.0000, 0.0000, 0.0000), S at (0.0000, 0.0000, 0.2497) and S at (0.0031, 0.5015, 0.7496).

Density functional theory data (PBE) for a relaxed TbY2ErS4 crystal.

The calculation puts the formation energy without anion corrections at -1.99 eV per atom. The density of states at the Fermi level is 4.84 states/eV per cell. The value obtained for the total energy is -6.82 eV/atom.

The structure belongs to space group P2/m (No. 10); the cell edges are 6.785, 3.876 and 6.787 Å and the angles 90.00°, 109.10° and 90.00°. The asymmetric unit holds Tb at (0.000, 0.000, 0.000), Y at (0.000, 0.500, 0.500), Y at (0.500, 0.000, 0.500), Er at (0.500, 0.500, 0.000), S at (0.252, 0.500, 0.249) and S at (0.254, 0.000, 0.753).